# 1
VASP calculation (PBE) on a relaxed Dy3Tm4 crystal.

The total DFT energy (no corrections) is -4.504 eV/atom. As for the density of states at the Fermi level: 9.00 states/eV/f.u. The calculation puts the formation energy at 0.0232 eV/atom.

The structure belongs to space group Immm (No. 71); the cell edges are 3.501, 4.953 and 24.551 Å and the angles 90.00°, 90.00° and 90.00°. The inequivalent atoms are Dy at (0.000, 0.000, 0.000), Dy at (0.000, 0.000, 0.143), Tm at (0.000, 0.000, 0.285) and Tm at (0.000, 0.000, 0.428).

---

# 2
VASP calculation (PBE) on a relaxed PuThTc2 crystal.

The total DFT energy (no corrections) is -10.568 eV/atom. As for the density of states at the Fermi level: 5.57 states/eV/f.u. The calculation puts the formation energy at 0.0527 eV/atom.

The structure belongs to space group Fm-3m (No. 225); the cell edges are 6.939, 6.939 and 6.939 Å and the angles 90.00°, 90.00° and 90.00°. The inequivalent atoms are Pu at (0.000, 0.000, 0.000), Th at (0.000, 0.000, 0.500) and Tc at (0.250, 0.250, 0.250).